Computed, not measured: crystalline CaIrOs2 at its relaxed geometry at the PBE level of DFT.

Summary:
D(E_F)	3.95	states/eV/cell
energy	-8.002	eV per atom
DFT formation energy	0.33	eV per atom

a b c (Å): 2.778 3.814 6.624
angles (deg): 90.00 90.00 90.00
Fractional positions:
1 Ca 0.000 0.000 0.000
2 Ir 0.500 0.500 0.287
3 Os 0.000 0.000 0.504
4 Os 0.500 0.500 0.679